Arrangement P

A plane-wave DFT calculation with PBE was carried out for BaErAu after structural relaxation.

```
BaErAu
1.0
-2.905 -2.263 -1.017
-0.667 -0.795 3.676
-2.471 6.825 -0.957
Ba Au Er
1 1 1
Cartesian
-0.156 0.194 0.014 Ba
-3.459 0.552 1.477 Au
-2.428 3.020 0.213 Er
```

Arrangement Q

A plane-wave DFT calculation with PBE was carried out for BaErAu after structural relaxation.

```
BaErAu
1.0
-0.358 -1.493 -4.854
-3.184 -3.725 1.381
-6.045 4.786 -1.026
Ba Er Au
2 2 2
Cartesian
-6.898 2.339 -0.211 Ba
-0.918 -0.162 -2.553 Ba
-3.022 2.393 -0.513 Er
-4.794 -0.216 -2.250 Er
-3.498 -0.354 0.367 Au
-4.318 2.531 -3.130 Au
```

What is the stability order? It is arrangement Q, arrangement P, from most stable to least stable.

Arrangement P

A plane-wave DFT calculation with PBE was carried out for Ba2EuAu after structural relaxation.

```
Ba2EuAu
1.0
4.081 0.000 0.000
0.000 4.081 0.000
0.000 0.000 10.440
Au Eu Ba
1 1 2
Cartesian
2.041 2.041 0.000 Au
2.041 2.041 5.220 Eu
0.000 0.000 1.911 Ba
0.000 0.000 8.528 Ba
```

Arrangement Q

A plane-wave DFT calculation with PBE was carried out for Ba2EuAu after structural relaxation.

```
Ba2EuAu
1.0
4.476 0.000 0.000
2.238 3.877 0.000
2.238 1.292 12.073
Eu Ba Au
1 2 1
Cartesian
0.000 0.000 0.000 Eu
2.238 1.292 7.990 Ba
6.714 3.877 4.083 Ba
4.476 2.584 6.036 Au
```

What is the stability order? It is arrangement P, arrangement Q, from most stable to least stable.

Arrangement P

A plane-wave DFT calculation with PBE was carried out for BaEuAu after structural relaxation.

```
BaEuAu
1.0
-4.197 5.523 1.700
-3.373 -1.762 -2.603
0.306 -1.139 4.457
Ba Eu Au
1 1 1
Cartesian
-5.293 2.586 1.025 Ba
-1.898 -0.060 2.500 Eu
-0.073 0.096 0.030 Au
```

Arrangement Q

A plane-wave DFT calculation with PBE was carried out for BaEuAu after structural relaxation.

```
BaEuAu
1.0
-1.041 -5.386 0.004
4.139 -3.593 0.223
0.829 -2.950 4.549
Au Eu Ba
1 1 1
Cartesian
0.982 -2.982 1.194 Au
1.964 -5.964 2.388 Eu
0.000 0.000 0.000 Ba
```

What is the stability order? It is arrangement P, arrangement Q, from most stable to least stable.

Arrangement P

A plane-wave DFT calculation with PBE was carried out for BaAuF2 after structural relaxation.

```
BaAuF2
1.0
-2.674 2.674 7.343
2.674 -2.674 7.343
2.674 2.674 -7.343
Au F Ba
2 4 2
Cartesian
0.000 0.000 0.000 Au
0.000 2.674 3.671 Au
1.124 1.337 9.179 F
1.337 3.799 -1.836 F
1.550 1.337 1.836 F
1.337 -1.124 5.507 F
0.000 0.000 7.343 Ba
2.674 0.000 3.671 Ba
```

Arrangement Q

A plane-wave DFT calculation with PBE was carried out for BaAuF2 after structural relaxation.

```
BaAuF2
1.0
0.000 3.385 3.385
3.385 0.000 3.385
3.385 3.385 0.000
Au F Ba
1 2 1
Cartesian
3.385 3.385 3.385 Au
5.077 5.077 5.077 F
1.692 1.692 1.692 F
0.000 0.000 0.000 Ba
```

Arrangement R

A plane-wave DFT calculation with PBE was carried out for BaAuF2 after structural relaxation.

```
BaAuF2
1.0
-2.291 -2.711 6.673
-1.096 -5.975 4.497
1.693 -3.647 6.400
Ba F Au
1 2 1
Cartesian
0.000 0.000 0.000 Ba
-1.214 -8.838 12.591 F
-0.480 -3.495 4.979 F
-0.847 -6.166 8.785 Au
```

What is the stability order? It is arrangement R, arrangement Q, arrangement P, from most stable to least stable.

Arrangement P

A plane-wave DFT calculation with PBE was carried out for BaTlPbAuF after structural relaxation.

```
BaTlPbAuF
1.0
4.620 0.000 0.000
-2.310 4.001 0.000
0.000 0.000 23.591
Ba Tl F Pb Au
3 3 3 3 3
Cartesian
0.000 2.668 12.749 Ba
2.310 1.334 4.885 Ba
0.000 0.000 20.613 Ba
2.310 1.334 15.490 Tl
0.000 0.000 7.627 Tl
0.000 2.668 23.354 Tl
0.000 2.668 4.866 F
0.000 0.000 12.730 F
2.310 1.334 20.594 F
2.310 1.334 9.937 Pb
0.000 0.000 2.073 Pb
0.000 2.668 17.801 Pb
0.000 0.000 16.808 Au
0.000 2.668 8.944 Au
2.310 1.334 1.080 Au
```

Arrangement Q

A plane-wave DFT calculation with PBE was carried out for BaTlPbAuF after structural relaxation.

```
BaTlPbAuF
1.0
8.928 0.000 -0.060
0.000 4.502 0.000
-2.337 0.000 7.760
F Au Ba Pb Tl
2 2 2 2 2
Cartesian
1.735 2.251 4.912 F
2.904 0.000 1.032 F
4.720 2.251 5.771 Au
5.889 0.000 1.891 Au
2.750 0.000 3.790 Ba
1.581 2.251 7.670 Ba
6.242 2.251 3.459 Pb
5.073 0.000 7.339 Pb
-1.198 0.000 5.431 Tl
-0.029 2.251 1.551 Tl
```

What is the stability order? It is arrangement P, arrangement Q, from most stable to least stable.

Arrangement P

A plane-wave DFT calculation with PBE was carried out for BaTlPbAuF after structural relaxation.

```
BaTlPbAuF
1.0
10.316 0.000 -0.014
0.000 5.234 0.000
-0.366 0.000 5.219
Ba F Au Tl Pb
2 2 2 2 2
Cartesian
4.434 2.617 2.900 Ba
4.616 0.000 0.291 Ba
3.781 2.617 0.224 F
3.598 0.000 2.834 F
6.991 2.617 0.443 Au
6.808 0.000 3.052 Au
8.622 0.000 0.547 Tl
8.440 2.617 3.157 Tl
0.296 0.000 3.297 Pb
0.479 2.617 0.688 Pb
```

Arrangement Q

A plane-wave DFT calculation with PBE was carried out for BaTlPbAuF after structural relaxation.

```
BaTlPbAuF
1.0
4.908 0.000 0.001
0.000 4.249 0.000
-0.063 0.000 8.544
Tl Au F Ba Pb
1 1 1 1 1
Cartesian
0.432 0.000 0.004 Tl
2.831 0.000 5.703 Au
0.380 0.000 2.900 F
0.376 2.125 4.213 Ba
2.824 2.125 7.595 Pb
```

What is the stability order? It is arrangement P, arrangement Q, from most stable to least stable.

Arrangement P

A plane-wave DFT calculation with PBE was carried out for BaTlPbAuF after structural relaxation.

```
BaTlPbAuF
1.0
3.792 0.000 0.000
0.000 4.015 0.000
0.000 0.000 9.562
Tl Ba Au F Pb
1 1 1 1 1
Cartesian
0.000 2.008 2.852 Tl
1.896 2.008 6.333 Ba
0.000 2.008 9.138 Au
0.000 0.000 6.024 F
1.896 0.000 0.618 Pb
```

Arrangement Q

A plane-wave DFT calculation with PBE was carried out for BaTlPbAuF after structural relaxation.

```
BaTlPbAuF
1.0
5.061 0.000 0.000
0.005 5.268 0.000
2.373 2.607 5.514
Tl F Au Ba Pb
1 1 1 1 1
Cartesian
2.494 5.025 0.259 Tl
2.646 2.380 2.808 F
5.201 4.997 4.646 Au
5.181 2.380 2.011 Ba
2.655 5.014 3.450 Pb
```

What is the stability order? It is arrangement P, arrangement Q, from most stable to least stable.

Arrangement P

A plane-wave DFT calculation with PBE was carried out for BaTlPbAuF after structural relaxation.

```
BaTlPbAuF
1.0
-1.447 -0.068 -5.344
-2.594 -3.658 0.749
-8.698 7.204 5.064
Tl F Ba Au Pb
2 2 2 2 2
Cartesian
-4.299 3.217 0.825 Tl
-9.945 4.990 3.731 Tl
-4.307 2.587 -2.280 F
-9.952 4.359 0.626 F
-7.809 5.615 0.380 Ba
-4.758 0.184 -1.778 Ba
-1.410 0.420 -2.833 Au
-7.056 2.193 0.074 Au
-7.032 2.775 3.000 Pb
-1.386 1.002 0.093 Pb
```

Arrangement Q

A plane-wave DFT calculation with PBE was carried out for BaTlPbAuF after structural relaxation.

```
BaTlPbAuF
1.0
9.349 0.000 -0.171
0.000 4.493 0.000
-2.032 0.000 7.488
Tl F Pb Au Ba
2 2 2 2 2
Cartesian
-0.415 2.247 3.489 Tl
-1.431 0.000 7.233 Tl
2.046 0.000 5.463 F
3.062 2.247 1.719 F
7.666 2.247 0.295 Pb
6.650 0.000 4.039 Pb
6.200 0.000 1.230 Au
5.184 2.247 4.974 Au
3.056 0.000 3.054 Ba
2.040 2.247 6.798 Ba
```

What is the stability order? It is arrangement Q, arrangement P, from most stable to least stable.

Arrangement P

A plane-wave DFT calculation with PBE was carried out for BaFeAu2 after structural relaxation.

```
BaFeAu2
1.0
-1.773 7.882 -0.706
-0.116 -3.604 -3.557
-3.572 0.946 -0.839
Au Fe Ba
2 1 1
Cartesian
-2.673 4.414 -0.772 Au
0.000 0.000 0.000 Au
-0.944 2.139 -2.131 Fe
-1.844 -1.329 -2.198 Ba
```

Arrangement Q

A plane-wave DFT calculation with PBE was carried out for BaFeAu2 after structural relaxation.

```
BaFeAu2
1.0
-0.407 -2.480 -4.688
-2.637 -3.985 2.337
-8.968 0.818 -2.673
Au Fe Ba
4 2 2
Cartesian
-8.730 -4.048 -4.646 Au
-4.043 -3.216 -0.966 Au
-8.527 -2.808 -2.302 Au
-2.724 -1.224 -2.134 Au
-6.564 -3.200 -0.756 Fe
-1.522 -3.233 -1.175 Fe
0.000 0.000 0.000 Ba
-5.448 -2.448 -4.268 Ba
```

What is the stability order? It is arrangement Q, arrangement P, from most stable to least stable.

Arrangement P

A plane-wave DFT calculation with PBE was carried out for BaFeAu2 after structural relaxation.

```
BaFeAu2
1.0
5.452 -0.002 -0.009
0.349 5.441 0.009
-2.152 -3.517 3.566
Au Fe Ba
2 1 1
Cartesian
2.512 2.355 0.000 Au
0.388 0.364 0.000 Au
0.549 2.321 1.787 Fe
3.100 -0.400 1.779 Ba
```

Arrangement Q

A plane-wave DFT calculation with PBE was carried out for BaFeAu2 after structural relaxation.

```
BaFeAu2
1.0
-1.367 1.588 4.061
-0.738 -2.898 3.456
4.810 0.115 4.147
Au Ba Fe
2 1 1
Cartesian
2.873 -0.811 9.000 Au
-1.751 -1.274 7.623 Au
1.272 -0.605 5.808 Ba
-0.442 -0.410 2.583 Fe
```

What is the stability order? It is arrangement Q, arrangement P, from most stable to least stable.

Arrangement P

A plane-wave DFT calculation with PBE was carried out for Ba2Ga3Au5 after structural relaxation.

```
Ba2Ga3Au5
1.0
0.367 1.368 6.649
0.279 -7.769 5.059
8.407 -1.929 3.408
Ba Ga Au
4 6 10
Cartesian
1.238 -4.857 4.407 Ba
5.462 -1.270 6.911 Ba
3.592 -7.060 8.205 Ba
7.816 -3.473 10.710 Ba
2.584 -3.425 7.513 Ga
0.275 1.026 4.987 Ga
4.202 -2.815 3.823 Ga
6.470 -4.904 7.603 Ga
4.852 -5.514 11.293 Ga
0.092 0.342 1.662 Ga
2.634 -6.845 11.689 Au
8.431 -3.232 7.151 Au
4.435 -4.507 5.896 Au
2.547 -1.067 8.768 Au
6.690 -6.578 9.673 Au
2.363 -1.752 5.443 Au
6.420 -1.485 3.427 Au
0.623 -5.098 7.966 Au
6.507 -7.262 6.349 Au
4.619 -3.823 9.220 Au
```

Arrangement Q

A plane-wave DFT calculation with PBE was carried out for Ba2Ga3Au5 after structural relaxation.

```
Ba2Ga3Au5
1.0
4.677 0.000 0.000
0.000 4.677 0.000
0.000 0.000 11.070
Au Ga Ba
5 3 2
Cartesian
2.339 2.339 0.000 Au
0.000 2.339 1.665 Au
2.339 0.000 9.405 Au
2.339 2.339 5.535 Au
0.000 0.000 0.000 Au
0.000 0.000 5.535 Ga
2.339 0.000 6.847 Ga
0.000 2.339 4.223 Ga
0.000 2.339 8.412 Ba
2.339 0.000 2.658 Ba
```

What is the stability order? It is arrangement P, arrangement Q, from most stable to least stable.

Arrangement P

A plane-wave DFT calculation with PBE was carried out for Ba2GaAu3 after structural relaxation.

```
Ba2GaAu3
1.0
4.399 0.000 0.000
0.000 4.767 0.000
0.000 0.000 8.326
Au Ba Ga
3 2 1
Cartesian
2.200 0.000 7.016 Au
2.200 0.000 1.565 Au
2.200 2.383 5.346 Au
0.000 0.000 4.266 Ba
0.000 2.383 8.259 Ba
2.200 2.383 2.689 Ga
```

Arrangement Q

A plane-wave DFT calculation with PBE was carried out for Ba2GaAu3 after structural relaxation.

```
Ba2GaAu3
1.0
6.529 0.449 0.000
0.045 6.544 0.000
-3.287 -3.496 8.216
Au Ga Ba
6 2 4
Cartesian
0.000 0.000 2.845 Au
4.842 5.150 1.428 Au
3.287 3.496 5.371 Au
-1.555 -1.654 6.788 Au
1.732 1.842 1.428 Au
1.555 1.654 6.788 Au
3.287 3.496 2.735 Ga
0.000 0.000 5.481 Ga
4.970 1.915 0.000 Ba
1.605 5.078 0.000 Ba
0.023 3.272 4.108 Ba
3.264 0.224 4.108 Ba
```

What is the stability order? It is arrangement P, arrangement Q, from most stable to least stable.